An optimized crystal structure of Cu2PtRh. Source: Alexandria via LeMat-Bulk, functional GGA-PBEsol.

- N(E_F) (states/eV/cell) = 3.60
- distance to the lowest polymorph of the same formula (eV/atom) = 0.079
- symmetry = Pmmm, No. 47
- calculated formation energy (meV/atom) = 36
- size of the total moment (μB per cell) = 0.0

```
Cu2PtRh
1.0
-0.272 0.830 2.536
3.622 -2.149 1.093
2.460 3.669 -0.938
Cu Pt Rh
2 1 1
direct
0.000 0.000 0.000
0.500 0.000 0.500
0.500 0.500 0.000
0.000 0.500 0.500
```